1.
DFT (PBE) results for a geometry-optimized Dy2MgNi4Ge3 structure.

a = 4.063 Å, b = 4.063 Å, c = 9.994 Å
α = 90.00°, β = 90.00°, γ = 90.00°
Space group P-4m2 (No. 115)
Unique sites:
Dy (0.000, 0.500, 0.239)
Mg (0.000, 0.000, 0.500)
Ni (0.000, 0.000, 0.000)
Ni (0.000, 0.500, 0.642)
Ni (0.500, 0.500, 0.000)
Ge (0.000, 0.500, 0.874)
Ge (0.500, 0.500, 0.500)

Computed properties:
Raw total energy   -5.389 eV/atom
DOS(E_F)   6.7 states/eV/cell
Energy of formation from the pure elements   -611 meV/atom

***

2.
DFT (PBE) results for a geometry-optimized Tb2SnSe4 structure.

a = 4.112 Å, b = 13.600 Å, c = 14.164 Å
α = 90.00°, β = 90.00°, γ = 90.00°
Space group Cmcm (No. 63)
Unique sites:
Tb (0.000, 0.137, 0.066)
Sn (0.000, 0.399, 0.250)
Se (0.000, 0.045, 0.250)
Se (0.000, 0.229, 0.617)
Se (0.000, 0.500, 0.000)

Computed properties:
Raw total energy   -5.322 eV/atom
Uncorrected formation energy   -1.436 eV per atom

***

3.
DFT (PBE) results for a geometry-optimized Ho4TlAg3 structure.

a = 5.1727 Å, b = 5.1727 Å, c = 25.4385 Å
α = 90.00°, β = 90.00°, γ = 120.00°
Space group R-3m (No. 166, hexagonal axes)
Unique sites:
Ho (0.0000, 0.0000, 0.1213)
Ho (0.0000, 0.0000, 0.3719)
Tl (0.0000, 0.0000, 0.5000)
Ag (0.0000, 0.0000, 0.0000)
Ag (0.0000, 0.0000, 0.2486)

Computed properties:
Raw total energy   -3.980 eV/atom
DOS(E_F)   15.5 states/eV/cell
Energy of formation from the pure elements   -327 meV/atom

***

4.
DFT (PBE) results for a geometry-optimized Sm3Dy2Er2 structure.

a = 17.468 Å, b = 3.504 Å, c = 8.524 Å
α = 90.00°, β = 118.96°, γ = 90.00°
Space group C2/m (No. 12)
Unique sites:
Sm (0.000, 0.000, 0.000)
Sm (0.212, 0.000, 0.299)
Dy (0.065, 0.500, 0.410)
Er (0.146, 0.000, 0.825)

Computed properties:
Raw total energy   -4.527 eV/atom
DOS(E_F)   21.7 states/eV/cell
Energy of formation from the pure elements   114 meV/atom

***

5.
DFT (PBE) results for a geometry-optimized Be3Pt4 structure.

a = 4.5190 Å, b = 4.5190 Å, c = 5.1145 Å
α = 90.00°, β = 90.00°, γ = 120.00°
Space group P6/mmm (No. 191)
Unique sites:
Be (0.0000, 0.5000, 0.0000)
Pt (0.0000, 0.0000, 0.2471)
Pt (0.3333, 0.6667, 0.5000)

Computed properties:
Raw total energy   -5.218 eV/atom
DOS(E_F)   4.9 states/eV/cell
Energy of formation from the pure elements   -169 meV/atom

***

6.
DFT (PBE) results for a geometry-optimized La6Er2Tl structure.

a = 16.501 Å, b = 8.352 Å, c = 11.752 Å
α = 90.00°, β = 132.75°, γ = 90.00°
Space group C2/c (No. 15)
Unique sites:
La (0.086, 0.033, 0.467)
La (0.094, 0.364, 0.062)
La (0.235, 0.139, 0.374)
Er (0.148, 0.300, 0.807)
Tl (0.000, 0.386, 0.250)

Computed properties:
Raw total energy   -4.585 eV/atom
DOS(E_F)   50.6 states/eV/cell
Energy of formation from the pure elements   -23 meV/atom

***

7.
DFT (PBE) results for a geometry-optimized LiIn2Au3 structure.

a = 9.033 Å, b = 9.834 Å, c = 5.589 Å
α = 90.00°, β = 99.51°, γ = 90.00°
Space group C2/c (No. 15)
Unique sites:
Li (0.000, 0.066, 0.250)
In (0.162, 0.243, 0.717)
Au (0.000, 0.335, 0.250)
Au (0.232, 0.485, 0.997)

Computed properties:
Raw total energy   -3.109 eV/atom
DOS(E_F)   6.3 states/eV/cell
Energy of formation from the pure elements   -239 meV/atom

***

8.
DFT (PBE) results for a geometry-optimized Rb2AgRuBr6 structure.

a = 7.5541 Å, b = 7.5541 Å, c = 39.3342 Å
α = 90.00°, β = 90.00°, γ = 120.00°
Space group R-3m (No. 166, hexagonal axes)
Unique sites:
Rb (0.0000, 0.0000, 0.1235)
Rb (0.0000, 0.0000, 0.2992)
Ag (0.0000, 0.0000, 0.4138)
Ru (0.0000, 0.0000, 0.0000)
Ru (0.0000, 0.0000, 0.5000)
Br (0.0149, 0.5074, 0.1293)
Br (0.0178, 0.5089, 0.7047)

Computed properties:
Raw total energy   -3.260 eV/atom
DOS(E_F)   56.1 states/eV/cell
Uncorrected formation energy   -0.850 eV per atom

***

9.
DFT (PBE) results for a geometry-optimized ZrIr2S2 structure.

a = 3.878 Å, b = 3.878 Å, c = 10.864 Å
α = 90.00°, β = 90.00°, γ = 90.00°
Space group I4/mmm (No. 139)
Unique sites:
Zr (0.000, 0.000, 0.000)
Ir (0.000, 0.500, 0.250)
S (0.000, 0.000, 0.382)

Computed properties:
Raw total energy   -6.917 eV/atom
DOS(E_F)   7.5 states/eV/cell
Uncorrected formation energy   -0.012 eV per atom

***

10.
DFT (PBE) results for a geometry-optimized Pm4CuNi3 structure.

a = 3.805 Å, b = 4.411 Å, c = 10.472 Å
α = 90.00°, β = 90.00°, γ = 90.00°
Space group Pmm2 (No. 25)
Unique sites:
Pm (0.000, 0.000, 0.000)
Pm (0.000, 0.500, 0.270)
Pm (0.500, 0.000, 0.487)
Pm (0.500, 0.500, 0.773)
Cu (0.000, 0.000, 0.700)
Ni (0.000, 0.500, 0.563)
Ni (0.500, 0.000, 0.206)
Ni (0.500, 0.500, 0.062)

Computed properties:
Raw total energy   -5.364 eV/atom
DOS(E_F)   6.6 states/eV/cell
Energy of formation from the pure elements   -309 meV/atom